(1)
# InAs

InAs after structural relaxation (PBE, Alexandria via LeMat-Bulk).

a = 6.241 Å, b = 6.241 Å, c = 6.241 Å
α = 45.70°, β = 45.70°, γ = 45.70°
Atoms (fractional coordinates):
As1 0.925 0.925 0.925
In1 0.389 0.389 0.389
In2 0.611 0.611 0.611
As2 0.075 0.075 0.075

Properties
Symmetry: R-3m, No. 166
Magnetic moment in μB per formula unit: 0.00
Uncorrected energy in eV per atom: -3.602
Crystal system: trigonal

***

(2)
# InAs3

InAs3 after structural relaxation (PBE, Alexandria via LeMat-Bulk).

a = 3.081 Å, b = 3.081 Å, c = 9.533 Å
α = 90.00°, β = 90.00°, γ = 108.90°
Atoms (fractional coordinates):
In1 0.500 0.500 0.250
As1 0.000 0.000 0.531
As2 0.500 0.500 0.750
As3 0.000 0.000 0.969

Properties
Symmetry: Cmmm, No. 65
Magnetic moment in μB per formula unit: 0.00
Uncorrected energy in eV per atom: -3.838
Crystal system: orthorhombic

***

(3)
# InAs2

InAs2 after structural relaxation (PBE, Alexandria via LeMat-Bulk).

a = 5.810 Å, b = 5.810 Å, c = 5.810 Å
α = 60.00°, β = 60.00°, γ = 60.00°
Atoms (fractional coordinates):
In1 0.750 0.750 0.750
In2 0.500 0.500 0.500
As1 0.125 0.125 0.125
As2 0.125 0.125 0.625
As3 0.625 0.125 0.125
As4 0.125 0.625 0.125

Properties
Symmetry: Fd-3m, No. 227
Magnetic moment in μB per formula unit: 0.00
Uncorrected energy in eV per atom: -3.771
Crystal system: cubic

***

(4)
# In2As

In2As after structural relaxation (PBE, Alexandria via LeMat-Bulk).

a = 6.758 Å, b = 6.758 Å, c = 5.815 Å
α = 90.19°, β = 90.19°, γ = 36.61°
Atoms (fractional coordinates):
In1 0.319 0.319 0.251
In2 0.681 0.681 0.749
As1 0.335 0.335 0.751
In3 0.022 0.022 0.250
In4 0.978 0.978 0.750
As2 0.665 0.665 0.249

Properties
Symmetry: C2/m, No. 12
Magnetic moment in μB per formula unit: 0.00
Uncorrected energy in eV per atom: -3.413
Crystal system: monoclinic

***

| no. | formation enthalpy at 0 K (eV per atom) | DOS at the Fermi energy (states/eV per cell) |
| --- | --- | --- |
| 1 | 0.09 | 0.18 |
| 2 | 0.33 | 1.68 |
| 3 | 0.24 | 3.58 |
| 4 | -0.04 | 4.07 |